No. 1
The following is a GGA-PBE calculation of crystalline La2Tb2Nd7 at its relaxed geometry, from Alexandria via LeMat-Bulk.

Lattice parameters (Å, degrees): 11.659 11.724 6.183 90.00 112.36 90.00
Space group C2/m (No. 12)
Unique sites:
La  0.228  0.000  0.096
Tb  0.000  0.221  0.000
Nd  0.000  0.000  0.500
Nd  0.080  0.500  0.302
Nd  0.179  0.232  0.676

Output
The value obtained for the energy of formation is 3.15 kcal/mol of atoms. For the excess energy over the best structure of this formula in the dataset, the calculation gives 25.3 meV per atom.

---

No. 2
The following is a GGA-PBE calculation of crystalline La3Tb4Nd at its relaxed geometry, from Alexandria via LeMat-Bulk.

Lattice parameters (Å, degrees): 11.742 7.369 6.384 90.00 90.00 90.00
Space group Pmn2_1 (No. 31)
Unique sites:
La  0.000  0.129  0.000
La  0.250  0.126  0.329
Tb  0.000  0.379  0.499
Tb  0.000  0.622  0.999
Tb  0.249  0.621  0.330
Nd  0.000  0.871  0.498

Output
The value obtained for the energy of formation is 0.78 kcal/mol of atoms. For the excess energy over the best structure of this formula in the dataset, the calculation gives 0.0 meV per atom.

---

No. 3
The following is a GGA-PBE calculation of crystalline La4TbNd4 at its relaxed geometry, from Alexandria via LeMat-Bulk.

Lattice parameters (Å, degrees): 5.254 8.224 8.260 107.43 108.54 90.10
Space group P-1 (No. 2)
Unique sites:
La  0.055  0.331  0.110
La  0.389  0.333  0.778
Tb  0.500  0.000  0.000
Nd  0.166  0.999  0.333
Nd  0.279  0.670  0.557

Output
The value obtained for the energy of formation is 0.38 kcal/mol of atoms.